ScRh (SCAN, PBEsol geometry); formation energy from the elements = -0.92 eV/atom; density of states at the Fermi level = 0.5587 states/eV/atom; ρ = 7.4 g cm⁻³; calculated volume = 66.5 Å³/cell
1.0
4.865 -1.556 0.000
4.865 1.556 0.000
-0.829 0.000 4.394
Sc Rh
2 2
direct
0.120 0.120 0.295
0.880 0.880 0.705
0.384 0.384 0.208
0.616 0.616 0.792


Sc2H2S (SCAN, PBEsol geometry); final energy = -50.52 eV/cell; density of states at the Fermi level = 0.3856 states/eV/atom; ρ = 3.6 g cm⁻³; calculated volume = 57.7 Å³/cell
1.0
-1.618 1.618 5.514
1.618 -1.618 5.514
1.618 1.618 -5.514
Sc H S
2 2 1
direct
0.136 0.136 0.000
0.864 0.864 0.000
0.250 0.750 0.500
0.750 0.250 0.500
0.500 0.500 0.000


BiI3 (SCAN, PBEsol geometry); final energy = -380.82 eV/cell; density of states at the Fermi level = 0.0000 states/eV/atom; ρ = 5.7 g cm⁻³; calculated volume = 341.9 Å³/cell
1.0
3.775 2.180 6.924
-3.775 2.180 6.924
0.000 -4.359 6.924
Bi I
2 6
direct
0.166 0.166 0.166
0.834 0.834 0.834
0.071 0.415 0.753
0.247 0.929 0.585
0.415 0.753 0.071
0.585 0.247 0.929
0.753 0.071 0.415
0.929 0.585 0.247


OsPtS3 (SCAN, PBEsol geometry); final energy = -163.14 eV/cell; density of states at the Fermi level = 0.9571 states/eV/atom; ρ = 8.7 g cm⁻³; calculated volume = 91.8 Å³/cell
1.0
4.511 0.000 0.000
0.000 4.511 0.000
0.000 0.000 4.511
Os Pt S
1 1 3
direct
0.000 0.000 0.000
0.500 0.500 0.500
0.000 0.500 0.500
0.500 0.000 0.500
0.500 0.500 0.000


La2AlNi2 (SCAN, PBEsol geometry); formation energy from the elements = -0.37 eV/atom; density of states at the Fermi level = 0.6922 states/eV/atom; ρ = 6.9 g cm⁻³; calculated volume = 203.8 Å³/cell
1.0
7.225 0.000 0.000
0.000 7.225 0.000
0.000 0.000 3.904
La Al Ni
4 2 4
direct
0.179 0.321 0.000
0.321 0.821 0.000
0.679 0.179 0.000
0.821 0.679 0.000
0.000 0.000 0.500
0.500 0.500 0.500
0.125 0.625 0.500
0.375 0.125 0.500
0.625 0.875 0.500
0.875 0.375 0.500


InAgB2Mo (SCAN, PBEsol geometry); formation energy from the elements = 2.24 eV/atom; density of states at the Fermi level = 0.5841 states/eV/atom; ρ = 6.1 g cm⁻³; calculated volume = 92.9 Å³/cell
1.0
4.301 0.000 0.000
0.000 4.301 0.000
0.000 0.000 5.024
In Ag B Mo
1 1 2 1
direct
0.000 0.000 0.000
0.000 0.000 0.500
0.000 0.500 0.000
0.500 0.000 0.000
0.500 0.500 0.500


ScTaP2O (SCAN, PBEsol geometry); final energy = -108.04 eV/cell; density of states at the Fermi level = 0.7609 states/eV/atom; ρ = 5.9 g cm⁻³; calculated volume = 86.1 Å³/cell
1.0
4.825 0.000 0.000
0.000 4.825 0.000
0.000 0.000 3.700
Sc Ta P O
1 1 2 1
direct
0.000 0.000 0.000
0.500 0.500 0.500
0.000 0.500 0.000
0.500 0.000 0.000
0.000 0.000 0.500


BaAs2Rh (SCAN, PBEsol geometry); formation energy from the elements = -0.51 eV/atom; density of states at the Fermi level = 0.5294 states/eV/atom; ρ = 7.0 g cm⁻³; calculated volume = 92.7 Å³/cell
1.0
-1.685 2.982 4.611
1.685 -2.982 4.611
1.685 2.982 -4.611
Ba As Rh
1 2 1
direct
0.000 0.000 0.000
0.307 0.807 0.500
0.693 0.193 0.500
0.500 0.500 0.000


Co5W (SCAN, PBEsol geometry); formation energy from the elements = 0.18 eV/atom; density of states at the Fermi level = 0.9898 states/eV/atom; ρ = 12.2 g cm⁻³; distance to the lowest polymorph of the same formula = 0.000 eV/atom; calculated volume = 65.3 Å³/cell
1.0
4.350 0.000 0.000
-2.175 3.768 0.000
0.000 0.000 3.981
Co W
5 1
direct
0.000 0.352 0.000
0.333 0.667 0.500
0.352 0.000 0.000
0.648 0.648 0.000
0.667 0.333 0.500
0.000 0.000 0.500


BaCdPb2 (SCAN, PBEsol geometry); formation energy from the elements = -0.44 eV/atom; density of states at the Fermi level = 0.3299 states/eV/atom; ρ = 8.4 g cm⁻³; calculated volume = 131.5 Å³/cell
1.0
4.764 -2.348 0.000
4.764 2.348 0.000
-1.971 0.000 5.878
Ba Cd Pb
1 1 2
direct
0.000 0.000 0.000
0.500 0.500 0.500
0.240 0.240 0.672
0.760 0.760 0.328


KMnCr (SCAN, PBEsol geometry); formation energy from the elements = 0.99 eV/atom; density of states at the Fermi level = 0.5846 states/eV/atom; ρ = 4.3 g cm⁻³; distance to the lowest polymorph of the same formula = 0.453 eV/atom; calculated volume = 56.3 Å³/cell
1.0
2.958 0.000 0.000
-1.479 2.562 0.000
0.000 0.000 7.428
K Mn Cr
1 1 1
direct
0.000 0.000 0.000
0.333 0.667 0.597
0.667 0.333 0.417


Cu2Pt (SCAN, PBEsol geometry); formation energy from the elements = -0.14 eV/atom; density of states at the Fermi level = 0.3304 states/eV/atom; ρ = 14.1 g cm⁻³; distance to the lowest polymorph of the same formula = 0.026 eV/atom; calculated volume = 152.2 Å³/cell
1.0
3.664 -3.751 0.000
3.664 3.751 0.000
-1.867 0.000 5.537
Cu Pt
8 4
direct
0.079 0.079 0.335
0.085 0.587 0.337
0.251 0.251 0.002
0.413 0.915 0.663
0.587 0.085 0.337
0.749 0.749 0.998
0.915 0.413 0.663
0.921 0.921 0.665
0.240 0.760 0.000
0.409 0.409 0.661
0.591 0.591 0.339
0.760 0.240 0.000


CrNiAuN2 (SCAN, PBEsol geometry); final energy = -112.04 eV/cell; density of states at the Fermi level = 0.6795 states/eV/atom; ρ = 7.3 g cm⁻³; calculated volume = 76.3 Å³/cell
1.0
3.855 0.000 0.000
0.000 3.855 0.000
0.000 0.000 5.135
Cr Ni Au N
1 1 1 2
direct
0.000 0.000 0.000
0.500 0.500 0.000
0.000 0.000 0.500
0.000 0.500 0.500
0.500 0.000 0.500


K4AgPt (SCAN, PBEsol geometry); formation energy from the elements = 0.56 eV/atom; density of states at the Fermi level = 0.5483 states/eV/atom; ρ = 4.2 g cm⁻³; calculated volume = 181.7 Å³/cell
1.0
0.000 4.495 4.495
4.495 0.000 4.495
4.495 4.495 0.000
K Ag Pt
4 1 1
direct
0.376 0.376 0.376
0.376 0.376 0.872
0.376 0.872 0.376
0.872 0.376 0.376
0.000 0.000 0.000
0.750 0.750 0.750


Cd4P2Br3 (SCAN, PBEsol geometry); final energy = -1648.70 eV/cell; density of states at the Fermi level = 0.0000 states/eV/atom; ρ = 5.3 g cm⁻³; calculated volume = 1873.9 Å³/cell
1.0
12.329 0.000 0.000
0.000 12.329 0.000
0.000 0.000 12.329
Cd P Br
32 16 24
direct
0.007 0.247 0.032
0.007 0.253 0.532
0.032 0.007 0.247
0.032 0.493 0.747
0.221 0.721 0.779
0.221 0.779 0.279
0.247 0.032 0.007
0.247 0.468 0.507
0.253 0.532 0.007
0.253 0.968 0.507
0.279 0.221 0.779
0.279 0.279 0.279
0.468 0.507 0.247
0.468 0.993 0.747
0.493 0.747 0.032
0.493 0.753 0.532
0.507 0.247 0.468
0.507 0.253 0.968
0.532 0.007 0.253
0.532 0.493 0.753
0.721 0.721 0.721
0.721 0.779 0.221
0.747 0.032 0.493
0.747 0.468 0.993
0.753 0.532 0.493
0.753 0.968 0.993
0.779 0.221 0.721
0.779 0.279 0.221
0.968 0.507 0.253
0.968 0.993 0.753
0.993 0.747 0.468
0.993 0.753 0.968
0.051 0.051 0.051
0.051 0.449 0.551
0.105 0.605 0.895
0.105 0.895 0.395
0.395 0.105 0.895
0.395 0.395 0.395
0.449 0.551 0.051
0.449 0.949 0.551
0.551 0.051 0.449
0.551 0.449 0.949
0.605 0.605 0.605
0.605 0.895 0.105
0.895 0.105 0.605
0.895 0.395 0.105
0.949 0.551 0.449
0.949 0.949 0.949
0.063 0.236 0.311
0.063 0.264 0.811
0.189 0.563 0.236
0.189 0.937 0.736
0.236 0.189 0.563
0.236 0.311 0.063
0.264 0.689 0.563
0.264 0.811 0.063
0.311 0.063 0.236
0.311 0.437 0.736
0.437 0.736 0.311
0.437 0.764 0.811
0.563 0.236 0.189
0.563 0.264 0.689
0.689 0.563 0.264
0.689 0.937 0.764
0.736 0.189 0.937
0.736 0.311 0.437
0.764 0.689 0.937
0.764 0.811 0.437
0.811 0.063 0.264
0.811 0.437 0.764
0.937 0.736 0.189
0.937 0.764 0.689


SrGeBAs2 (SCAN, PBEsol geometry); formation energy from the elements = 0.43 eV/atom; density of states at the Fermi level = 0.6027 states/eV/atom; ρ = 5.4 g cm⁻³; calculated volume = 99.5 Å³/cell
1.0
4.408 0.000 0.000
0.000 4.408 0.000
0.000 0.000 5.120
Sr Ge B As
1 1 1 2
direct
0.000 0.000 0.000
0.500 0.500 0.000
0.000 0.000 0.500
0.000 0.500 0.500
0.500 0.000 0.500


MgTa2Zn2O8 (SCAN, PBEsol geometry); final energy = -498.75 eV/cell; density of states at the Fermi level = 0.0000 states/eV/atom; ρ = 7.3 g cm⁻³; calculated volume = 291.5 Å³/cell
1.0
9.537 -2.935 0.000
9.537 2.935 0.000
-0.001 0.000 5.206
Mg Ta Zn O
2 4 4 16
direct
0.145 0.855 0.750
0.855 0.145 0.250
0.225 0.545 0.238
0.455 0.775 0.262
0.545 0.225 0.738
0.775 0.455 0.762
0.066 0.375 0.263
0.375 0.066 0.763
0.625 0.934 0.237
0.934 0.625 0.737
0.048 0.339 0.634
0.065 0.819 0.088
0.181 0.935 0.412
0.220 0.422 0.939
0.316 0.546 0.575
0.339 0.048 0.134
0.422 0.220 0.439
0.454 0.684 0.925
0.546 0.316 0.075
0.578 0.780 0.561
0.661 0.952 0.866
0.684 0.454 0.425
0.780 0.578 0.061
0.819 0.065 0.588
0.935 0.181 0.912
0.952 0.661 0.366


Al2TcAs (SCAN, PBEsol geometry); formation energy from the elements = -0.15 eV/atom; density of states at the Fermi level = 0.5143 states/eV/atom; ρ = 6.4 g cm⁻³; calculated volume = 59.2 Å³/cell
1.0
2.558 -3.750 0.000
2.558 3.750 0.000
0.000 0.000 3.084
Al Tc As
2 1 1
direct
0.000 0.500 0.000
0.500 0.000 0.000
0.000 0.000 0.500
0.500 0.500 0.500


CsSiSb2I (SCAN, PBEsol geometry); final energy = -158.83 eV/cell; density of states at the Fermi level = 0.6074 states/eV/atom; ρ = 5.0 g cm⁻³; calculated volume = 175.8 Å³/cell
1.0
5.236 0.000 0.000
0.000 5.236 0.000
0.000 0.000 6.413
Cs Si Sb I
1 1 2 1
direct
0.000 0.000 0.000
0.500 0.500 0.500
0.000 0.500 0.500
0.500 0.000 0.500
0.500 0.500 0.000


CaPbSeBr2 (SCAN, PBEsol geometry); final energy = -148.42 eV/cell; density of states at the Fermi level = 0.0944 states/eV/atom; ρ = 4.5 g cm⁻³; calculated volume = 178.2 Å³/cell
1.0
5.568 0.000 0.000
0.000 5.568 0.000
0.000 0.000 5.747
Ca Pb Se Br
1 1 1 2
direct
0.000 0.000 0.000
0.500 0.500 0.500
0.500 0.500 0.000
0.000 0.500 0.500
0.500 0.000 0.500